A relaxed structure of Pr3NpO7, computed with PBE.

Values from the calculation:
N(E_F) = 0.53 states/eV per atom
E = -8.918 eV/atom
magnetic moment = 2.00 μB/f.u.
raw formation energy = -3.283 eV per atom

```
Pr3NpO7
1.0
3.922 -5.587 0.000
3.922 5.587 0.000
0.000 0.000 7.998
Pr Np O
6 2 14
direct
0.000 0.000 0.000
0.000 0.000 0.500
0.033 0.502 0.750
0.498 0.967 0.750
0.502 0.033 0.250
0.967 0.498 0.250
0.500 0.500 0.000
0.500 0.500 0.500
0.131 0.869 0.250
0.133 0.867 0.750
0.174 0.420 0.028
0.174 0.420 0.472
0.417 0.583 0.750
0.420 0.174 0.528
0.420 0.174 0.972
0.580 0.826 0.028
0.580 0.826 0.472
0.583 0.417 0.250
0.826 0.580 0.528
0.826 0.580 0.972
0.867 0.133 0.250
0.869 0.131 0.750
```


A relaxed structure of Pr5Np2O12, computed with PBE.

Values from the calculation:
N(E_F) = 0.43 states/eV per atom
E = -8.958 eV/atom
magnetic moment = 5.00 μB/f.u.
raw formation energy = -3.206 eV per atom

```
Pr5Np2O12
1.0
6.545 -3.216 0.000
6.545 3.216 0.000
-2.360 0.000 7.480
Pr Np O
5 2 12
direct
0.000 0.000 0.000
0.299 0.299 0.134
0.306 0.306 0.676
0.694 0.694 0.324
0.701 0.701 0.866
0.244 0.756 0.500
0.756 0.244 0.500
0.000 0.000 0.304
0.000 0.000 0.696
0.095 0.593 0.925
0.100 0.565 0.414
0.407 0.905 0.075
0.435 0.900 0.586
0.498 0.498 0.690
0.502 0.502 0.310
0.565 0.100 0.414
0.593 0.095 0.925
0.900 0.435 0.586
0.905 0.407 0.075
```


A relaxed structure of Pr2NpO8, computed with PBE.

Values from the calculation:
N(E_F) = 0.39 states/eV per atom
E = -7.903 eV/atom
magnetic moment = 3.01 μB/f.u.
raw formation energy = -2.252 eV per atom

```
Pr2NpO8
1.0
6.360 -1.939 0.000
6.360 1.939 0.000
-0.511 0.000 7.337
Pr Np O
2 1 8
direct
0.244 0.244 0.239
0.756 0.756 0.761
0.500 0.500 0.000
0.061 0.061 0.132
0.206 0.206 0.557
0.320 0.320 0.932
0.443 0.443 0.227
0.557 0.557 0.773
0.680 0.680 0.068
0.794 0.794 0.443
0.939 0.939 0.868
```


A relaxed structure of PrNp2O11, computed with PBE.

Values from the calculation:
N(E_F) = 0.03 states/eV per atom
E = -8.182 eV/atom
magnetic moment = 1.03 μB/f.u.
raw formation energy = -2.097 eV per atom

```
PrNp2O11
1.0
7.508 0.000 0.000
-1.896 8.139 0.000
-1.791 -1.076 8.194
Pr Np O
2 4 22
direct
0.000 0.000 0.000
0.401 0.682 0.402
0.414 0.186 0.398
0.452 0.667 0.909
0.934 0.016 0.490
0.934 0.487 0.033
0.000 0.722 0.059
0.097 0.767 0.719
0.113 0.808 0.571
0.138 0.499 0.214
0.146 0.192 0.499
0.216 0.517 0.896
0.239 0.865 0.846
0.280 0.174 0.175
0.345 0.945 0.361
0.410 0.638 0.679
0.481 0.422 0.422
0.495 0.689 0.139
0.525 0.180 0.610
0.666 0.844 0.923
0.694 0.496 0.911
0.715 0.848 0.481
0.749 0.212 0.399
0.752 0.418 0.238
0.857 0.352 0.351
0.893 0.254 0.995
0.916 0.968 0.265
0.965 0.058 0.719
```


A relaxed structure of PrNpO5, computed with PBE.

Values from the calculation:
E = -8.922 eV/atom
magnetic moment = 0.00 μB/f.u.
raw formation energy = -2.849 eV per atom

```
PrNpO5
1.0
-2.087 3.377 4.287
2.087 -3.377 4.287
2.087 3.377 -4.287
Pr Np O
1 1 5
direct
0.000 0.000 0.000
0.500 0.500 0.000
0.200 0.500 0.700
0.276 0.276 0.000
0.500 0.000 0.500
0.724 0.724 0.000
0.800 0.500 0.300
```


A relaxed structure of PrNp2O6, computed with PBE.

Values from the calculation:
N(E_F) = 1.59 states/eV per atom
E = -9.881 eV/atom
magnetic moment = 5.00 μB/f.u.
raw formation energy = -3.169 eV per atom

```
PrNp2O6
1.0
3.880 0.000 0.000
-1.940 3.360 0.000
0.000 0.000 9.339
Pr Np O
1 2 6
direct
0.000 0.000 0.000
0.333 0.667 0.663
0.667 0.333 0.337
0.000 0.000 0.274
0.000 0.000 0.726
0.333 0.667 0.422
0.333 0.667 0.895
0.667 0.333 0.105
0.667 0.333 0.578
```


A relaxed structure of Rb3Pr2NpO6, computed with PBE.

Values from the calculation:
N(E_F) = 0.70 states/eV per atom
E = -6.990 eV/atom
magnetic moment = 3.98 μB/f.u.
raw formation energy = -2.394 eV per atom

```
Rb3Pr2NpO6
1.0
3.176 -5.501 0.000
3.176 5.501 0.000
-2.120 0.000 6.615
Rb Pr Np O
3 2 1 6
direct
0.000 0.000 0.000
0.334 0.666 0.000
0.666 0.334 0.000
0.167 0.833 0.500
0.833 0.167 0.500
0.500 0.500 0.500
0.121 0.440 0.321
0.240 0.240 0.679
0.440 0.121 0.321
0.560 0.879 0.679
0.760 0.760 0.321
0.879 0.560 0.679
```


A relaxed structure of RbPr2NpO8, computed with PBE.

Values from the calculation:
N(E_F) = 0.09 states/eV per atom
E = -7.824 eV/atom
magnetic moment = 0.00 μB/f.u.
raw formation energy = -2.563 eV per atom

```
RbPr2NpO8
1.0
4.148 0.000 0.000
0.000 8.392 0.000
-0.653 0.000 5.432
Rb Pr Np O
1 2 1 8
direct
0.000 0.000 0.000
0.500 0.278 0.500
0.500 0.722 0.500
0.000 0.500 0.000
0.043 0.312 0.765
0.043 0.688 0.765
0.420 0.000 0.618
0.443 0.500 0.223
0.557 0.500 0.777
0.580 0.000 0.382
0.957 0.312 0.235
0.957 0.688 0.235
```


A relaxed structure of Rb2PrNpO6, computed with PBE.

Values from the calculation:
E = -7.542 eV/atom
magnetic moment = 0.00 μB/f.u.
raw formation energy = -2.602 eV per atom

```
Rb2PrNpO6
1.0
0.000 4.439 4.439
4.439 0.000 4.439
4.439 4.439 0.000
Rb Pr Np O
2 1 1 6
direct
0.250 0.250 0.250
0.750 0.750 0.750
0.000 0.000 0.000
0.500 0.500 0.500
0.270 0.270 0.730
0.270 0.730 0.270
0.270 0.730 0.730
0.730 0.270 0.270
0.730 0.270 0.730
0.730 0.730 0.270
```